1.
LiYTi | Alexandria via LeMat-Bulk | PBE | optimized geometry; space group = Cm
1.0
4.6989 -0.0052 0.0228
-2.3425 5.6150 -0.0094
2.3257 -1.8880 5.0661
Y Ti Li
2 2 2
Direct
0.4824 0.2639 0.6283 Y
0.1240 0.7538 0.8348 Y
0.7703 0.2393 0.0273 Ti
0.1967 0.3028 0.2382 Ti
0.8346 0.7770 0.4372 Li
0.4618 0.7704 0.1758 Li

2.
LiYTi | Alexandria via LeMat-Bulk | PBE | optimized geometry; space group = P2_1/m
1.0
8.3119 0.0000 -0.0013
0.0000 3.2260 0.0000
-0.9871 0.0000 4.9195
Y Li Ti
2 2 2
Direct
0.2824 0.2500 0.8376 Y
0.7176 0.7500 0.1624 Y
0.6333 0.2500 0.6344 Li
0.3667 0.7500 0.3656 Li
0.0416 0.2500 0.2543 Ti
0.9584 0.7500 0.7457 Ti

3.
LiY3Ti | Alexandria via LeMat-Bulk | PBE | optimized geometry; space group = Pm-3m
1.0
-1.2305 4.9381 1.9987
1.9945 -1.4751 4.8724
4.9398 1.8256 -1.4694
Y Li Ti
3 1 1
Direct
0.0000 0.5000 0.0000 Y
0.5000 0.0000 0.0000 Y
0.0000 0.0000 0.5000 Y
0.5000 0.5000 0.5000 Li
0.0000 0.0000 0.0000 Ti

Values of mass density, in order: 3580; 3618; 3267, all in kg/m3.
Values of ΔH_f (0 K), in order: 273; 224; 520, all in meV/atom.
Values of spin magnetization, in order: 0.000; 0.000; 0.000, all in μB per atom.